P:
# CaCuAg3

A relaxed CaCuAg3 crystal (GGA-PBE, Alexandria).

Computed properties:
**Total magnetization**: 0.000 μB per atom

Lattice parameters (Å, degrees): 4.8867 4.8867 4.8867 90.00 90.00 90.00
Space group Pm-3m (No. 221)
One atom of each set of equivalent atoms:
Ca  0.0000  0.0000  0.0000 [1 per cell]
Cu  0.5000  0.5000  0.5000 [1 per cell]
Ag  0.0000  0.5000  0.5000 [3 per cell]

Q:
# CaCuAg3

A relaxed CaCuAg3 crystal (GGA-PBE, Alexandria).

Computed properties:
**Total magnetization**: 0.000 μB per atom

Lattice parameters (Å, degrees): 5.3986 5.3986 5.3986 90.00 90.00 90.00
Space group Pm-3m (No. 221)
One atom of each set of equivalent atoms:
Ca  0.0000  0.0000  0.0000 [1 per cell]
Cu  0.5000  0.5000  0.5000 [1 per cell]
Ag  0.0000  0.0000  0.5000 [3 per cell]

Which is the most stable structure? P is the most stable.

P:
# Ca2CuAg3

A relaxed Ca2CuAg3 crystal (GGA-PBE, Alexandria).

Computed properties:
**Total magnetization**: 0.000 μB per atom

Lattice parameters (Å, degrees): 4.6060 5.6334 11.2498 90.00 90.00 90.00
Space group Immm (No. 71)
One atom of each set of equivalent atoms:
Ca  0.0000  0.0000  0.2007 [4 per cell]
Cu  0.0000  0.0000  0.5000 [2 per cell]
Ag  0.0000  0.5000  0.1194 [4 per cell]
Ag  0.0000  0.5000  0.5000 [2 per cell]

Q:
# Ca2CuAg3

A relaxed Ca2CuAg3 crystal (GGA-PBE, Alexandria).

Computed properties:
**Total magnetization**: 0.000 μB per atom

Lattice parameters (Å, degrees): 7.2946 9.3882 16.1142 90.00 90.00 90.00
Space group Fmmm (No. 69)
One atom of each set of equivalent atoms:
Ca  0.2503  0.0000  0.0000 [8 per cell]
Ca  0.2500  0.2500  0.2500 [8 per cell]
Cu  0.0000  0.0000  0.1661 [8 per cell]
Ag  0.0000  0.0000  0.3285 [8 per cell]
Ag  0.0000  0.2425  0.0861 [16 per cell]

Which is the most stable structure? Q is the most stable.

P:
# Ca2CuAgH

A relaxed Ca2CuAgH crystal (GGA-PBE, Alexandria).

Computed properties:
**Total magnetization**: 0.000 μB per atom

Lattice parameters (Å, degrees): 4.9863 4.9863 3.9366 90.00 90.00 90.00
Space group P4/mmm (No. 123)
One atom of each set of equivalent atoms:
Ca  0.0000  0.5000  0.0000 [2 per cell]
Cu  0.0000  0.0000  0.5000 [1 per cell]
Ag  0.5000  0.5000  0.5000 [1 per cell]
H  0.5000  0.5000  0.0000 [1 per cell]

Q:
# Ca2CuAgH

A relaxed Ca2CuAgH crystal (GGA-PBE, Alexandria).

Computed properties:
**Total magnetization**: 0.000 μB per atom

Lattice parameters (Å, degrees): 5.0381 5.0381 3.7705 90.00 90.00 90.00
Space group P4/mmm (No. 123)
One atom of each set of equivalent atoms:
Ca  0.0000  0.5000  0.0000 [2 per cell]
Cu  0.0000  0.0000  0.5000 [1 per cell]
Ag  0.5000  0.5000  0.5000 [1 per cell]
H  0.0000  0.0000  0.0000 [1 per cell]

Which is the most stable structure? Q is the most stable.

P:
# CaSmCuAg

A relaxed CaSmCuAg crystal (GGA-PBE, Alexandria).

Computed properties:
**Total magnetization**: 0.000 μB per atom

Lattice parameters (Å, degrees): 7.2507 7.2507 7.2507 90.00 90.00 90.00
Space group F-43m (No. 216)
One atom of each set of equivalent atoms:
Ca  0.0000  0.0000  0.0000 [4 per cell]
Sm  0.0000  0.0000  0.5000 [4 per cell]
Cu  0.2500  0.2500  0.7500 [4 per cell]
Ag  0.2500  0.2500  0.2500 [4 per cell]

Q:
# CaSmCuAg

A relaxed CaSmCuAg crystal (GGA-PBE, Alexandria).

Computed properties:
**Total magnetization**: 0.000 μB per atom

Lattice parameters (Å, degrees): 3.6250 3.6250 7.3812 90.00 90.00 90.00
Space group P4mm (No. 99)
One atom of each set of equivalent atoms:
Ca  0.0000  0.0000  0.0000 [1 per cell]
Sm  0.0000  0.0000  0.4748 [1 per cell]
Cu  0.5000  0.5000  0.2635 [1 per cell]
Ag  0.5000  0.5000  0.7281 [1 per cell]

Which is the most stable structure? Q is the most stable.

P:
# Ca2DyAg3

A relaxed Ca2DyAg3 crystal (GGA-PBE, Alexandria).

Computed properties:
**Total magnetization**: 0.000 μB per atom

Lattice parameters (Å, degrees): 5.1914 5.1914 6.3784 90.00 90.00 120.00
Space group P-3m1 (No. 164)
One atom of each set of equivalent atoms:
Ca  0.3333  0.6667  0.1616 [2 per cell]
Dy  0.0000  0.0000  0.5000 [1 per cell]
Ag  0.0000  0.0000  0.0000 [1 per cell]
Ag  0.3333  0.6667  0.6428 [2 per cell]

Q:
# Ca2DyAg3

A relaxed Ca2DyAg3 crystal (GGA-PBE, Alexandria).

Computed properties:
**Total magnetization**: 0.000 μB per atom

Lattice parameters (Å, degrees): 3.6879 3.6879 11.0654 90.00 90.00 90.00
Space group P4/mmm (No. 123)
One atom of each set of equivalent atoms:
Ca  0.0000  0.0000  0.1699 [2 per cell]
Dy  0.0000  0.0000  0.5000 [1 per cell]
Ag  0.5000  0.5000  0.0000 [1 per cell]
Ag  0.5000  0.5000  0.3482 [2 per cell]

Which is the most stable structure? Q is the most stable.

P:
# Ca2DyAg

A relaxed Ca2DyAg crystal (GGA-PBE, Alexandria).

Computed properties:
**Total magnetization**: 0.078 μB per atom

Lattice parameters (Å, degrees): 3.6396 3.6396 34.4242 90.00 90.00 120.00
Space group R-3m (No. 166, hexagonal axes)
One atom of each set of equivalent atoms:
Ca  0.0000  0.0000  0.1008 [6 per cell]
Dy  0.0000  0.0000  0.0000 [3 per cell]
Ag  0.0000  0.0000  0.5000 [3 per cell]

Q:
# Ca2DyAg

A relaxed Ca2DyAg crystal (GGA-PBE, Alexandria).

Computed properties:
**Total magnetization**: 0.032 μB per atom

Lattice parameters (Å, degrees): 3.5645 3.5645 9.7050 90.00 90.00 90.00
Space group P4/mmm (No. 123)
One atom of each set of equivalent atoms:
Ca  0.0000  0.0000  0.2049 [2 per cell]
Dy  0.5000  0.5000  0.5000 [1 per cell]
Ag  0.5000  0.5000  0.0000 [1 per cell]

R:
# Ca2DyAg

A relaxed Ca2DyAg crystal (GGA-PBE, Alexandria).

Computed properties:
**Total magnetization**: 0.124 μB per atom

Lattice parameters (Å, degrees): 3.7494 3.7494 31.6739 90.00 90.00 120.00
Space group R3m (No. 160, hexagonal axes)
One atom of each set of equivalent atoms:
Ca  0.0000  0.0000  0.0000 [3 per cell]
Ca  0.0000  0.0000  0.1914 [3 per cell]
Dy  0.0000  0.0000  0.7620 [3 per cell]
Ag  0.0000  0.0000  0.5959 [3 per cell]

Which is the most stable structure? Q is the most stable.

P:
# CaDyAg

A relaxed CaDyAg crystal (GGA-PBE, Alexandria).

Computed properties:
**Total magnetization**: 0.000 μB per atom

Lattice parameters (Å, degrees): 3.6639 3.6639 12.9504 90.00 90.00 90.00
Space group I4mm (No. 107)
One atom of each set of equivalent atoms:
Ca  0.0000  0.0000  0.0000 [2 per cell]
Dy  0.0000  0.0000  0.2789 [2 per cell]
Ag  0.0000  0.0000  0.6527 [2 per cell]

Q:
# CaDyAg

A relaxed CaDyAg crystal (GGA-PBE, Alexandria).

Computed properties:
**Total magnetization**: 0.000 μB per atom

Lattice parameters (Å, degrees): 5.1570 5.1570 3.6603 90.00 90.00 120.00
Space group P3m1 (No. 156)
One atom of each set of equivalent atoms:
Ca  0.0000  0.0000  0.0000 [1 per cell]
Dy  0.3333  0.6667  0.4525 [1 per cell]
Ag  0.6667  0.3333  0.7182 [1 per cell]

Which is the most stable structure? P is the most stable.

P:
# CaDyZnAg

A relaxed CaDyZnAg crystal (GGA-PBE, Alexandria).

Computed properties:
**Total magnetization**: 0.000 μB per atom

Lattice parameters (Å, degrees): 3.6553 3.6553 7.2602 90.00 90.00 90.00
Space group P4mm (No. 99)
One atom of each set of equivalent atoms:
Ca  0.0000  0.0000  0.0000 [1 per cell]
Dy  0.0000  0.0000  0.4879 [1 per cell]
Zn  0.5000  0.5000  0.2646 [1 per cell]
Ag  0.5000  0.5000  0.7254 [1 per cell]

Q:
# CaDyZnAg

A relaxed CaDyZnAg crystal (GGA-PBE, Alexandria).

Computed properties:
**Total magnetization**: 0.000 μB per atom

Lattice parameters (Å, degrees): 7.2673 7.2673 7.2673 90.00 90.00 90.00
Space group F-43m (No. 216)
One atom of each set of equivalent atoms:
Ca  0.0000  0.0000  0.0000 [4 per cell]
Dy  0.0000  0.0000  0.5000 [4 per cell]
Zn  0.2500  0.2500  0.2500 [4 per cell]
Ag  0.2500  0.2500  0.7500 [4 per cell]

Which is the most stable structure? P is the most stable.

P:
# Ca2ErAg

A relaxed Ca2ErAg crystal (GGA-PBE, Alexandria).

Computed properties:
**Total magnetization**: 0.144 μB per atom

Lattice parameters (Å, degrees): 3.7388 3.7388 31.5939 90.00 90.00 120.00
Space group R3m (No. 160, hexagonal axes)
One atom of each set of equivalent atoms:
Ca  0.0000  0.0000  0.0000 [3 per cell]
Ca  0.0000  0.0000  0.1905 [3 per cell]
Er  0.0000  0.0000  0.7615 [3 per cell]
Ag  0.0000  0.0000  0.5954 [3 per cell]

Q:
# Ca2ErAg

A relaxed Ca2ErAg crystal (GGA-PBE, Alexandria).

Computed properties:
**Total magnetization**: 0.096 μB per atom

Lattice parameters (Å, degrees): 3.5719 3.5719 9.6242 90.00 90.00 90.00
Space group P4/mmm (No. 123)
One atom of each set of equivalent atoms:
Ca  0.0000  0.0000  0.2060 [2 per cell]
Er  0.5000  0.5000  0.5000 [1 per cell]
Ag  0.5000  0.5000  0.0000 [1 per cell]

Which is the most stable structure? Q is the most stable.

P:
# CaErAg

A relaxed CaErAg crystal (GGA-PBE, Alexandria).

Computed properties:
**Total magnetization**: 0.000 μB per atom

Lattice parameters (Å, degrees): 3.6474 3.6474 12.8825 90.00 90.00 90.00
Space group I4mm (No. 107)
One atom of each set of equivalent atoms:
Ca  0.0000  0.0000  0.0000 [2 per cell]
Er  0.0000  0.0000  0.2793 [2 per cell]
Ag  0.0000  0.0000  0.6552 [2 per cell]

Q:
# CaErAg

A relaxed CaErAg crystal (GGA-PBE, Alexandria).

Computed properties:
**Total magnetization**: 0.000 μB per atom

Lattice parameters (Å, degrees): 5.0490 5.0490 3.9413 90.00 90.00 120.00
Space group P3m1 (No. 156)
One atom of each set of equivalent atoms:
Ca  0.0000  0.0000  0.0000 [1 per cell]
Er  0.3333  0.6667  0.5212 [1 per cell]
Ag  0.6667  0.3333  0.3664 [1 per cell]

Which is the most stable structure? P is the most stable.

P:
# Ca2ErAg3

A relaxed Ca2ErAg3 crystal (GGA-PBE, Alexandria).

Computed properties:
**Total magnetization**: 0.000 μB per atom

Lattice parameters (Å, degrees): 3.6660 3.6660 11.0941 90.00 90.00 90.00
Space group P4/mmm (No. 123)
One atom of each set of equivalent atoms:
Ca  0.0000  0.0000  0.1706 [2 per cell]
Er  0.0000  0.0000  0.5000 [1 per cell]
Ag  0.5000  0.5000  0.0000 [1 per cell]
Ag  0.5000  0.5000  0.3504 [2 per cell]

Q:
# Ca2ErAg3

A relaxed Ca2ErAg3 crystal (GGA-PBE, Alexandria).

Computed properties:
**Total magnetization**: 0.000 μB per atom

Lattice parameters (Å, degrees): 5.1709 5.1709 6.3724 90.00 90.00 120.00
Space group P-3m1 (No. 164)
One atom of each set of equivalent atoms:
Ca  0.3333  0.6667  0.1624 [2 per cell]
Er  0.0000  0.0000  0.5000 [1 per cell]
Ag  0.0000  0.0000  0.0000 [1 per cell]
Ag  0.3333  0.6667  0.6417 [2 per cell]

Which is the most stable structure? P is the most stable.

P:
# CaErGaAg

A relaxed CaErGaAg crystal (GGA-PBE, Alexandria).

Computed properties:
**Total magnetization**: 0.000 μB per atom

Lattice parameters (Å, degrees): 7.2407 7.2407 7.2407 90.00 90.00 90.00
Space group F-43m (No. 216)
One atom of each set of equivalent atoms:
Ca  0.0000  0.0000  0.0000 [4 per cell]
Er  0.0000  0.0000  0.5000 [4 per cell]
Ga  0.2500  0.2500  0.7500 [4 per cell]
Ag  0.2500  0.2500  0.2500 [4 per cell]

Q:
# CaErGaAg

A relaxed CaErGaAg crystal (GGA-PBE, Alexandria).

Computed properties:
**Total magnetization**: 0.000 μB per atom

Lattice parameters (Å, degrees): 3.6261 3.6261 7.2991 90.00 90.00 90.00
Space group P4mm (No. 99)
One atom of each set of equivalent atoms:
Ca  0.0000  0.0000  0.0000 [1 per cell]
Er  0.0000  0.0000  0.5067 [1 per cell]
Ga  0.5000  0.5000  0.7343 [1 per cell]
Ag  0.5000  0.5000  0.2743 [1 per cell]

Which is the most stable structure? Q is the most stable.